Sr2CaHf: optimized geometry, PBE.

Cell: 4.991 4.991 13.173 Å, 79.08 79.08 90.00°
Site moments in Bohr magnetons follow the coordinates.
Sites, in units of the cell vectors:
Sr: 0.375 0.364 0.750  0.03
Ca: 0.250 0.750 0.500  0.06
Sr: 0.636 0.125 0.250  0.03
Hf: 0.000 0.000 0.000  0.87
Sr: 0.875 0.886 0.750  0.03
Ca: 0.500 0.500 0.000  0.06
Hf: 0.750 0.250 0.500  0.88
Sr: 0.114 0.625 0.250  0.03

Properties
Energy above the lowest structure with this stoichiometry, eV per atom: 0.268
Formation energy, meV/atom: 860
N(E_F), states/eV per cell: 10.92
SG: I-42d
Size of the total moment, Bohr magnetons per cell: 3.7